Record 1
PrSm4Ni2 | Alexandria via LeMat-Bulk | PBE | optimized geometry; raw total energy = -72.43 eV/cell; M_tot = 0.000 μB per formula unit; energy of formation from the pure elements = -0.142 eV/atom; density = 7.31 Mg/m³
1.0
-1.3996 2.6852 -6.0639
-7.1668 -5.4717 -0.7688
-1.5581 6.0062 3.0193
Ni Sm Pr
4 8 2
Cartesian
-5.8843 -1.3725 -4.9316 Ni
-6.0778 0.7790 -0.1462 Ni
-4.0468 2.4407 -3.6672 Ni
-4.2402 4.5922 1.1182 Ni
-4.9984 3.2450 -1.1926 Sm
-5.8242 1.3139 -5.6451 Sm
-1.5722 3.9843 -3.5548 Sm
-8.5523 -0.7646 -0.2586 Sm
-5.1262 -0.0253 -2.6208 Sm
-7.9263 2.2157 -2.8714 Sm
-2.1982 1.0040 -0.9421 Sm
-4.3003 1.9058 1.8317 Sm
-3.9697 6.6506 -1.8208 Pr
-6.1548 -3.4309 -1.9926 Pr


Record 2
Ta2NbSe | Alexandria via LeMat-Bulk | PBE | optimized geometry; raw total energy = -71.24 eV/cell; E_form (uncorrected) = 0.410 eV per atom; M_tot = 0.000 μB per formula unit; density = 11.63 Mg/m³
1.0
3.9506 0.0000 0.0000
0.0000 3.9506 0.0000
1.9753 1.9753 9.7649
Ta Se Nb
4 2 2
Cartesian
1.0108 2.9630 2.4412 Ta
4.9383 4.9152 7.3237 Ta
2.9398 0.9877 2.4412 Ta
2.9630 2.9861 7.3237 Ta
1.9753 1.9753 0.0000 Se
1.9753 3.9506 4.8825 Se
0.0000 0.0000 0.0000 Nb
3.9506 1.9753 4.8825 Nb